Computed, not measured: a relaxed HoPaSi2Ir5 crystal at the GGA-PBE level of DFT.

## Properties
Space group: No. 123
Spin magnetization, μB per atom: 0.000
E, eV per atom: -8.333
Fermi-level density of states, states/eV per cell: 4.3
ΔE_f (raw), meV per atom: -642

a = 3.990 Å, b = 3.990 Å, c = 11.263 Å
α = 90.00°, β = 90.00°, γ = 90.00°
Fractional positions:
Ir: 0.500 0.000 0.178
Ir: 0.500 0.500 0.500
Ir: 0.000 0.500 0.178
Ir: 0.500 0.000 0.822
Ir: 0.000 0.500 0.822
Si: 0.500 0.500 0.707
Si: 0.500 0.500 0.293
Ho: 0.000 0.000 0.500
Pa: 0.000 0.000 0.000